1.
First-principles (GGA-PBE) data for a relaxed structure of KAlGaHg2, as listed in the Alexandria database.

Structure (CIF):
```
data_KAlGaHg2
_cell_length_a 5.4031
_cell_length_b 5.4031
_cell_length_c 5.0558
_cell_angle_alpha 90.00
_cell_angle_beta 90.00
_cell_angle_gamma 90.00
_symmetry_space_group_name_H-M 'P 4/m m m'
_symmetry_Int_Tables_number 123
_symmetry_space_group_name_Hall '-P 4 2'
loop_
_atom_site_label
_atom_site_fract_x
_atom_site_fract_y
_atom_site_fract_z
K1 0.0000 0.0000 0.0000
Al1 0.5000 0.5000 0.5000
Ga1 0.5000 0.5000 0.0000
Hg1 0.0000 0.5000 0.5000
```

Summary:
DFT formation energy (eV/atom): -0.007
Electronic total energy (eV/cell): -8.51


2.
First-principles (GGA-PBE) data for a relaxed structure of Zr2RhPb, as listed in the Alexandria database.

Structure (CIF):
```
data_Zr2RhPb
_cell_length_a 3.3116
_cell_length_b 3.3116
_cell_length_c 27.9640
_cell_angle_alpha 90.00
_cell_angle_beta 90.00
_cell_angle_gamma 120.00
_symmetry_space_group_name_H-M 'R 3 m'
_symmetry_Int_Tables_number 160
_symmetry_space_group_name_Hall 'R 3 -2"'
loop_
_atom_site_label
_atom_site_fract_x
_atom_site_fract_y
_atom_site_fract_z
Zr1 0.0000 0.0000 0.0000
Zr2 0.0000 0.0000 0.2440
Rh1 0.0000 0.0000 0.7335
Pb1 0.0000 0.0000 0.4815
```

Summary:
DFT formation energy (eV/atom): -0.130
Electronic total energy (eV/cell): -86.03


3.
First-principles (GGA-PBE) data for a relaxed structure of Ba3In2Ga2, as listed in the Alexandria database.

Structure (CIF):
```
data_Ba3In2Ga2
_cell_length_a 13.2144
_cell_length_b 4.4909
_cell_length_c 9.4472
_cell_angle_alpha 90.00
_cell_angle_beta 116.11
_cell_angle_gamma 90.00
_symmetry_space_group_name_H-M 'C 1 2/m 1'
_symmetry_Int_Tables_number 12
loop_
_symmetry_equiv_pos_as_xyz
'x,y,z'
'-x,-y,-z'
'-x,y,-z'
'x,-y,z'
'x+1/2,y+1/2,z'
'-x+1/2,-y+1/2,-z'
'-x+1/2,y+1/2,-z'
'x+1/2,-y+1/2,z'
loop_
_atom_site_label
_atom_site_fract_x
_atom_site_fract_y
_atom_site_fract_z
Ba1 0.0000 0.0000 0.0000
Ba2 0.1968 0.0000 0.6511
In1 0.0147 0.5000 0.3333
Ga1 0.2019 0.5000 0.9371
```

Summary:
DFT formation energy (eV/atom): -0.417
Electronic total energy (eV/cell): -40.43


no.,magnetization (μB/cell)
1,0.00
2,0.00
3,0.00